## Ba2LiNi2O6 (PBE+U)

Data for Ba2LiNi2O6 after structural relaxation.

Cell lengths 6.0523, 6.0523, 5.0676 Å; angles 103.01, 103.01, 56.50 degrees
With the nearest neighbours (Å) after each atom.
Fractional positions:
Ba 0.0000 0.0000 0.0000  5 O 2.58-2.78, 1 Li 2.87
Ba 0.7095 0.7095 0.3811  5 O 2.59-2.89
Li 0.1657 0.1657 0.6349  3 O 1.84-1.96
Ni 0.3754 0.3754 0.1240  6 O 1.94-2.11
Ni 0.3853 0.3853 0.6251  6 O 1.87-1.93
O 0.0915 0.5155 0.8258  2 Ni 1.93-1.94, 1 Li 1.96
O 0.2264 0.6741 0.4138  2 Ni 1.91-1.96
O 0.2289 0.2289 0.3301  1 Li 1.84, 1 Ni 1.93
O 0.5155 0.0915 0.8258  2 Ni 1.93-1.94, 1 Li 1.96
O 0.5283 0.5283 0.9284  1 Ni 1.87
O 0.6741 0.2264 0.4138  2 Ni 1.91-1.96

## Properties
Final energy = -57.16 eV/f.u.
SG = No. 8
Magnetization = 0.0909 μB per atom

## Ba2LiNi2O6 (PBE+U)

Data for Ba2LiNi2O6 after structural relaxation.

Cell lengths 5.7966, 5.7966, 7.3608 Å; angles 90.00, 90.00, 120.00 degrees
With the nearest neighbours (Å) after each atom.
Fractional positions:
Ba 0.0000 0.0000 0.0000  9 O 2.74-2.92
Ba 0.3333 0.6667 0.7657  9 O 2.74-2.92
Li 0.6667 0.3333 0.5695  3 O 1.89
Ni 0.6667 0.3333 0.1927  3 O 1.88
Ni 0.6667 0.3333 0.8769  6 O 1.87-1.96
O 0.3678 0.1839 0.7248  1 Ni 1.87, 1 Li 1.89
O 0.5145 0.0291 0.0443  2 Ni 1.88-1.96
O 0.5145 0.4855 0.0443  2 Ni 1.88-1.96
O 0.8161 0.1839 0.7248  1 Ni 1.87, 1 Li 1.89
O 0.8161 0.6322 0.7248  1 Ni 1.87, 1 Li 1.89
O 0.9709 0.4855 0.0443  2 Ni 1.88-1.96

## Properties
Final energy = -54.19 eV/f.u.
SG = No. 156
Magnetization = 0.2721 μB per atom

## Ba2LiNi2O4 (PBE+U)

Data for Ba2LiNi2O4 after structural relaxation.

Cell lengths 5.0606, 5.4676, 5.4676 Å; angles 66.08, 90.00, 90.00 degrees
With the nearest neighbours (Å) after each atom.
Fractional positions:
Ba 0.0000 0.0000 0.0000  4 O 2.64-2.86, 2 Li 2.65
Ba 0.5000 0.2849 0.2849  4 O 2.67-2.79
Li 0.5000 0.9152 0.9152  2 O 1.87
Ni 0.2598 0.6409 0.6409  4 O 2.03-2.14
Ni 0.7402 0.6409 0.6409  4 O 2.03-2.14
O 0.0000 0.5004 0.9488  2 Ni 2.03
O 0.0000 0.9488 0.5004  2 Ni 2.03
O 0.5000 0.2893 0.7722  1 Li 1.87
O 0.5000 0.7722 0.2893  1 Li 1.87

## Properties
Final energy = -44.14 eV/f.u.
SG = No. 38
Magnetization = 0.3313 μB per atom

## Ba2LiNi2O6 (PBE+U)

Data for Ba2LiNi2O6 after structural relaxation.

Cell lengths 6.0625, 6.0625, 5.0929 Å; angles 103.91, 103.91, 54.42 degrees
With the nearest neighbours (Å) after each atom.
Fractional positions:
Ba 0.1908 0.1908 0.1946  7 O 2.65-2.94, 1 Li 2.89
Ba 0.8092 0.8092 0.8054  7 O 2.65-2.94, 1 Li 2.89
Li 0.0000 0.0000 0.5000  4 O 2.01
Ni 0.5000 0.5000 0.0000  6 O 1.87-2.07
Ni 0.5000 0.5000 0.5000  6 O 1.89-1.93
O 0.1909 0.6612 0.2344  2 Ni 1.89-2.07, 1 Li 2.01
O 0.3388 0.8091 0.7656  2 Ni 1.89-2.07, 1 Li 2.01
O 0.3641 0.3641 0.6808  2 Ni 1.87-1.93
O 0.6359 0.6359 0.3192  2 Ni 1.87-1.93
O 0.6612 0.1909 0.2344  2 Ni 1.89-2.07, 1 Li 2.01
O 0.8091 0.3388 0.7656  2 Ni 1.89-2.07, 1 Li 2.01

## Properties
Final energy = -57.74 eV/f.u.
SG = No. 12
Magnetization = 0.0909 μB per atom